AgHgAu | the Alexandria database | meta-GGA SCAN | single point on PBEsol structure; formation energy = 0.023 eV/atom; total moment = 0.00 μB per formula unit; crystal system = orthorhombic
1.0
2.988 0.000 0.000
0.000 4.093 0.000
-1.494 -2.046 4.406
Hg Au Ag
1 1 1
Direct
0.334 0.334 0.668
0.664 0.664 0.328
0.002 0.002 0.005